The following is a DFT calculation (GGA-PBE) of an optimized crystal structure of RbCdF3.

Lattice parameters (Å, degrees): 3.7495 5.8593 8.7426 90.00 115.40 90.00
Last column: nearest neighbours and their distance in Å.
Fractional positions:
F: 0.6201 0.4992 0.8701  3 Cd 2.33-2.39
F: 0.3799 0.5008 0.1299  3 Cd 2.33-2.39
F: 0.6201 0.0008 0.8701  3 Cd 2.33-2.39
F: 0.3799 0.9992 0.1299  3 Cd 2.33-2.39
F: 0.1297 0.2500 0.3797  1 Cd 2.21
F: 0.8703 0.7500 0.6203  1 Cd 2.21
Rb: 0.8830 0.2500 0.6331  8 F 2.74-3.03
Rb: 0.1170 0.7500 0.3669  8 F 2.74-3.03
Cd: 0.8503 0.2500 0.1002  7 F 2.21-2.39
Cd: 0.1497 0.7500 0.8998  7 F 2.21-2.39

Values from the calculation:
Energy (eV for the cell shown): -39.10
Energy relative to the elements, uncorrected (eV per atom): -2.410
Space-group type: No. 59